Crystalline NpNiO6 at its relaxed geometry, computed with PBE+U.

DOS at the Fermi energy, states/eV/f.u.: 0.12
VASP energy, eV/atom: -7.1313

a = 5.9546 Å, b = 5.3851 Å, c = 5.3853 Å
α = 63.66°, β = 70.21°, γ = 109.79°
Each line ends with the local moment (μB).
Fractional coordinates of all 8 atoms:
Ni: 0.0000 0.0208 0.0208  1.73
O: 0.7707 0.9496 0.8144  0.03
O: 0.3733 0.4957 0.5458  0.42
O: 0.2293 0.0920 0.2271  0.03
O: 0.7707 0.2271 0.0920  0.03
O: 0.6267 0.5458 0.4957  0.42
O: 0.2293 0.8144 0.9496  0.03
Np: 0.5000 0.0208 0.0208  0.14